CuIr2Au | PBE-GGA | relaxed

## Properties
M_tot   0.0 Bohr magnetons per cell
Raw total energy   -5.9341 eV per atom
Offset from the most stable computed form   223 meV per atom
Formation energy from the elements   0.340 eV per atom
Space group   Cmmm

Unit cell a=2.7337 b=2.7337 c=9.3254 alpha=90.00 beta=90.00 gamma=119.57
Element x y z (fractional)
Cu 0.5000 0.5000 0.7500
Ir 0.0000 0.0000 0.5180
Ir 0.0000 0.0000 0.9820
Au 0.5000 0.5000 0.2500